Computed, not measured: KCaIr3 after structural relaxation at the PBE level of DFT.

Computed properties:
The raw total energy is -19.8 eV per cell. The space group is Pm-3m, No. 221. Its formation energy from the elements is 1.984 eV/atom. The calculation puts the total magnetization at 2.3 μB per formula unit. The value obtained for the energy above the most stable polymorph in this dataset is 0.0 meV per atom.

Unit cell a=5.0606 b=5.0606 c=5.0606 alpha=90.00 beta=90.00 gamma=90.00
Closest atoms and distances in Å follow each position.
Element x y z (fractional)
1 K 0.0000 0.0000 0.0000  12 Ir 3.58
2 Ca 0.5000 0.5000 0.5000  6 Ir 2.53
3 Ir 0.0000 0.5000 0.5000  2 Ca 2.53
4 Ir 0.5000 0.0000 0.5000  2 Ca 2.53
5 Ir 0.5000 0.5000 0.0000  2 Ca 2.53